DFT (GGA+U) results for an optimized crystal structure of Na2MoAsO6.

Properties
- DFT total energy (eV per atom) = -5.87
- magnetic moment (Bohr magnetons per cell) = 0.000

Cell and atoms, written as POSCAR:
```
Na2MoAsO6
1.0
5.4844 0.0000 0.0000
0.0000 5.4844 0.0000
0.0000 0.0000 4.0074
Na Mo As O
2 1 1 6
Cartesian
0.0000 2.7422 0.0000
2.7422 0.0000 0.0000
0.0000 0.0000 2.0721
2.7422 2.7422 2.1424
0.0000 0.0000 0.2639
1.3479 1.3479 2.3331
1.3479 4.1365 2.3331
2.7422 2.7422 0.3325
4.1365 1.3479 2.3331
4.1365 4.1365 2.3331
```